Material: LiSI3
Method: DFT, GGA-PBE
State: relaxed

```
data_LiSI3
_cell_length_a 5.632
_cell_length_b 5.632
_cell_length_c 5.632
_cell_angle_alpha 90.00
_cell_angle_beta 90.00
_cell_angle_gamma 90.00
_symmetry_space_group_name_H-M 'P m -3 m'
_symmetry_Int_Tables_number 221
_symmetry_space_group_name_Hall '-P 4 2 3'
loop_
_atom_site_label
_atom_site_type_symbol
_atom_site_fract_x
_atom_site_fract_y
_atom_site_fract_z
Li1 Li 0.000 0.000 0.000
S1 S 0.500 0.500 0.500
I1 I 0.000 0.500 0.500
```

Values from the calculation:
Crystal system: cubic
Energy, eV per cell: -11.3
E above lowest polymorph, meV per atom: 0.0
M_tot, μB/f.u.: 0.00

Material: CuGe2Mo2
Method: DFT, GGA-PBE
State: relaxed

```
data_CuGe2Mo2
_cell_length_a 6.612
_cell_length_b 6.612
_cell_length_c 3.472
_cell_angle_alpha 90.00
_cell_angle_beta 90.00
_cell_angle_gamma 90.00
_symmetry_space_group_name_H-M 'P 4/m b m'
_symmetry_Int_Tables_number 127
_symmetry_space_group_name_Hall '-P 4 2ab'
loop_
_atom_site_label
_atom_site_type_symbol
_atom_site_fract_x
_atom_site_fract_y
_atom_site_fract_z
Cu1 Cu 0.000 0.000 0.000
Ge1 Ge 0.141 0.359 0.000
Mo1 Mo 0.160 0.660 0.500
```

Values from the calculation:
E_form, eV per atom: 0.115
Crystal system: tetragonal
Energy, eV per cell: -68.8
E above lowest polymorph, meV per atom: 0.0
M_tot, μB/f.u.: 0.00

Material: NbRhW
Method: DFT, GGA-PBE
State: relaxed

```
data_NbRhW
_cell_length_a 5.137
_cell_length_b 5.314
_cell_length_c 7.322
_cell_angle_alpha 90.00
_cell_angle_beta 90.00
_cell_angle_gamma 90.00
_symmetry_space_group_name_H-M 'I m m a'
_symmetry_Int_Tables_number 74
_symmetry_space_group_name_Hall '-I 2b 2'
loop_
_atom_site_label
_atom_site_type_symbol
_atom_site_fract_x
_atom_site_fract_y
_atom_site_fract_z
Nb1 Nb 0.000 0.250 0.121
Rh1 Rh 0.000 0.000 0.500
W1 W 0.250 0.250 0.750
```

Values from the calculation:
E_form, eV per atom: -0.103
Crystal system: orthorhombic
Energy, eV per cell: -122.7
E above lowest polymorph, meV per atom: 96.9
M_tot, μB/f.u.: 0.00

Material: Pu2NpAl
Method: DFT, GGA-PBE
State: relaxed

```
data_Pu2NpAl
_cell_length_a 4.554
_cell_length_b 4.554
_cell_length_c 4.509
_cell_angle_alpha 90.00
_cell_angle_beta 90.00
_cell_angle_gamma 90.00
_symmetry_space_group_name_H-M 'P 4/m m m'
_symmetry_Int_Tables_number 123
_symmetry_space_group_name_Hall '-P 4 2'
loop_
_atom_site_label
_atom_site_type_symbol
_atom_site_fract_x
_atom_site_fract_y
_atom_site_fract_z
Pu1 Pu 0.000 0.500 0.000
Np1 Np 0.000 0.000 0.500
Al1 Al 0.500 0.500 0.500
```

Values from the calculation:
E_form, eV per atom: 0.131
Crystal system: tetragonal
Energy, eV per cell: -44.8
E above lowest polymorph, meV per atom: 0.0
M_tot, μB/f.u.: 15.38